# BaSbPt | Alexandria via LeMat-Bulk | PBE | optimized geometry
# VASP energy   -4.98 eV per atom
# Symmetry   No. 187
# DOS(E_F)   2.0 states/eV per cell
data_BaSbPt
_chemical_formula_sum 'Ba1 Sb1 Pt1'
_cell_length_a 4.604
_cell_length_b 4.604
_cell_length_c 4.977
_cell_angle_alpha 90.00
_cell_angle_beta 90.00
_cell_angle_gamma 120.00
_space_group_name_H-M_alt 'P 1'
_space_group_IT_number 1
loop_
_space_group_symop_operation_xyz
'x,y,z'
loop_
_atom_site_label
_atom_site_type_symbol
_atom_site_fract_x
_atom_site_fract_y
_atom_site_fract_z
Pt1 Pt 0.333 0.667 0.500
Sb1 Sb 0.667 0.333 0.500
Ba1 Ba 0.000 0.000 0.000


# Ba2Sb5Pt3 | Alexandria via LeMat-Bulk | PBE | optimized geometry
# VASP energy   -4.97 eV per atom
# Symmetry   No. 72
# DOS(E_F)   10.6 states/eV per cell
data_Ba2Sb5Pt3
_chemical_formula_sum 'Ba4 Sb10 Pt6'
_cell_length_a 7.095
_cell_length_b 9.672
_cell_length_c 9.672
_cell_angle_alpha 65.25
_cell_angle_beta 68.48
_cell_angle_gamma 68.48
_space_group_name_H-M_alt 'P 1'
_space_group_IT_number 1
loop_
_space_group_symop_operation_xyz
'x,y,z'
loop_
_atom_site_label
_atom_site_type_symbol
_atom_site_fract_x
_atom_site_fract_y
_atom_site_fract_z
Ba1 Ba 0.627 0.112 0.633
Ba2 Ba 0.873 0.367 0.888
Ba3 Ba 0.373 0.888 0.367
Ba4 Ba 0.127 0.633 0.112
Pt1 Pt 0.118 0.270 0.495
Pt2 Pt 0.882 0.730 0.505
Pt3 Pt 0.250 0.000 0.000
Pt4 Pt 0.382 0.505 0.730
Pt5 Pt 0.618 0.495 0.270
Pt6 Pt 0.750 0.000 0.000
Sb1 Sb 0.605 0.767 0.023
Sb2 Sb 0.250 0.500 0.500
Sb3 Sb 0.395 0.233 0.977
Sb4 Sb 0.482 0.268 0.268
Sb5 Sb 0.518 0.732 0.732
Sb6 Sb 0.982 0.268 0.268
Sb7 Sb 0.018 0.732 0.732
Sb8 Sb 0.895 0.977 0.233
Sb9 Sb 0.750 0.500 0.500
Sb10 Sb 0.105 0.023 0.767


# BaSb2Pt | Alexandria via LeMat-Bulk | PBE | optimized geometry
# VASP energy   -4.22 eV per atom
# Symmetry   No. 139
# DOS(E_F)   2.9 states/eV per cell
data_BaSb2Pt
_chemical_formula_sum 'Ba1 Sb2 Pt1'
_cell_length_a 6.571
_cell_length_b 6.571
_cell_length_c 6.571
_cell_angle_alpha 140.27
_cell_angle_beta 140.27
_cell_angle_gamma 57.44
_space_group_name_H-M_alt 'P 1'
_space_group_IT_number 1
loop_
_space_group_symop_operation_xyz
'x,y,z'
loop_
_atom_site_label
_atom_site_type_symbol
_atom_site_fract_x
_atom_site_fract_y
_atom_site_fract_z
Sb1 Sb 0.500 0.500 0.000
Sb2 Sb 0.000 0.000 0.000
Ba1 Ba 0.250 0.750 0.500
Pt1 Pt 0.750 0.250 0.500


- Which formula does entry 3 have?
  BaSb2Pt


- Which of these has the lowest DOS(E_F)?
  BaSbPt